Here is a relaxed TbGeRh3 crystal from the Alexandria database. Energies are from PBE.

extended XYZ file:
```
10
Lattice="5.4529 0.0000 0.0000 0.0000 8.5210 0.0000 -2.7265 -4.2605 3.7853" Properties=species:S:1:pos:R:3 pbc="T T T"
Tb 0.0000 0.0584 1.8926
Tb 2.7265 4.2021 1.8926
Ge 0.0000 4.2605 0.0000
Ge 2.7265 0.0000 0.0000
Rh 4.0897 2.1302 0.3777
Rh 1.3632 2.1302 0.3777
Rh 1.3632 2.1302 3.4076
Rh -1.3632 2.1302 3.4076
Rh 0.0000 5.8299 1.8926
Rh 2.7265 -1.5695 1.8926
```

Computed properties:
* VASP energy: -6.8702 eV per atom
* spin magnetization: 0.0 μB/f.u.
* energy of formation: -0.610 eV/atom
* polymorph energy (0 for the lowest one): 12 meV/atom

=====

Here is a relaxed TbGeRh crystal from the Alexandria database. Energies are from PBE.

extended XYZ file:
```
3
Lattice="-1.6085 -0.0699 -3.3129 -3.7007 -1.3059 1.8243 0.8032 4.2254 -0.4791" Properties=species:S:1:pos:R:3 pbc="T T T"
Rh -0.2682 -0.0116 -0.5524
Ge -0.9662 2.3700 -0.2634
Tb -3.2716 0.4913 -1.1518
```

Computed properties:
* VASP energy: -6.4156 eV per atom
* spin magnetization: 0.0 μB/f.u.
* energy of formation: -0.883 eV/atom

=====

Here is a relaxed Tb5Ge10Rh4 crystal from the Alexandria database. Energies are from PBE.

extended XYZ file:
```
38
Lattice="13.0663 0.0000 0.0000 0.0000 13.0663 0.0000 0.0000 0.0000 4.3252" Properties=species:S:1:pos:R:3 pbc="T T T"
Tb 6.5332 6.5332 0.0000
Tb 0.0000 0.0000 0.0000
Tb 8.8253 2.2922 2.1626
Tb 4.2410 10.7742 2.1626
Tb 2.2922 4.2410 2.1626
Tb 10.7742 8.8253 2.1626
Tb 11.5914 5.0583 2.1626
Tb 1.4749 8.0080 2.1626
Tb 5.0583 1.4749 2.1626
Tb 8.0080 11.5914 2.1626
Ge 7.4085 0.8753 0.0000
Ge 5.6578 12.1910 0.0000
Ge 0.8753 5.6578 0.0000
Ge 12.1910 7.4085 0.0000
Ge 8.6430 9.1528 0.0000
Ge 4.4234 3.9135 0.0000
Ge 2.1098 10.4467 0.0000
Ge 10.9565 2.6196 0.0000
Ge 3.9135 8.6430 0.0000
Ge 9.1528 4.4234 0.0000
Ge 2.6196 2.1098 0.0000
Ge 10.4467 10.9565 0.0000
Ge 8.6085 6.5493 2.1626
Ge 4.4578 6.5170 2.1626
Ge 2.0754 13.0502 2.1626
Ge 10.9909 0.0161 2.1626
Ge 6.5170 8.6085 2.1626
Ge 6.5493 4.4578 2.1626
Ge 0.0161 2.0754 2.1626
Ge 13.0502 10.9909 2.1626
Rh 9.7410 6.8169 0.0000
Rh 3.3253 6.2494 0.0000
Rh 3.2078 12.7826 0.0000
Rh 9.8585 0.2837 0.0000
Rh 6.2494 9.7410 0.0000
Rh 6.8169 3.3253 0.0000
Rh 0.2837 3.2078 0.0000
Rh 12.7826 9.8585 0.0000
```

Computed properties:
* VASP energy: -6.0139 eV per atom
* spin magnetization: 0.0 μB/f.u.
* energy of formation: -0.818 eV/atom

=====

Here is a relaxed Tb5GeRh2 crystal from the Alexandria database. Energies are from PBE.

extended XYZ file:
```
16
Lattice="-4.8911 -0.2607 5.9340 4.6382 -4.9695 3.6048 3.2971 7.6299 -1.9357" Properties=species:S:1:pos:R:3 pbc="T T T"
Tb 3.0581 1.8730 4.2114
Tb 1.5517 -2.9247 7.7475
Tb 0.0000 0.0000 0.0000
Tb -0.1265 -2.6151 4.7694
Tb 1.4925 5.3243 -0.1444
Tb -0.1295 4.3115 3.4627
Tb 4.6801 2.8858 0.6044
Tb 3.1737 -1.9119 4.1404
Tb -1.6359 -0.4862 6.9987
Tb -0.0139 0.5266 3.3917
Ge 1.4588 -0.1078 6.1862
Ge 1.5853 2.5074 1.4169
Rh 1.0144 -1.8401 2.1213
Rh -2.4802 -0.8465 4.2730
Rh 2.2273 -4.3838 5.2657
Rh -1.2673 -3.3902 7.4175
```

Computed properties:
* VASP energy: -6.0108 eV per atom
* spin magnetization: 0.0 μB/f.u.
* energy of formation: -0.702 eV/atom

=====

Here is a relaxed Tb3Ge13Rh4 crystal from the Alexandria database. Energies are from PBE.

extended XYZ file:
```
40
Lattice="-4.3034 -6.9257 -3.8846 6.2076 -0.1788 -6.5581 4.9518 -5.7947 4.8452" Properties=species:S:1:pos:R:3 pbc="T T T"
Tb 6.8177 -4.4354 0.3549
Tb -0.5998 -3.5075 -3.5818
Tb -0.7517 -8.0916 -0.4909
Tb 4.3418 -1.5381 -2.0677
Tb 2.5040 -3.5969 -6.8609
Tb 1.4001 -4.6287 1.4514
Ge 3.4280 -6.4496 -2.7988
Ge 0.0000 0.0000 0.0000
Ge 1.1834 -8.5656 -3.0354
Ge 4.3266 -9.2611 -1.8716
Ge 2.2364 -7.2469 -0.0572
Ge 5.6726 -4.3336 -2.5621
Ge 2.5295 -3.6380 -3.7259
Ge 4.6196 -5.6522 -5.5403
Ge 3.0102 -8.6182 -4.9654
Ge 1.2630 -5.6761 -4.8691
Ge 3.8458 -4.2809 -0.6321
Ge 5.5930 -7.2230 -0.7284
Ge 6.0768 -7.3575 -4.1145
Ge 0.7792 -5.5416 -1.4831
Ge 2.8920 -7.0844 2.9306
Ge 1.2870 -1.0744 -2.6002
Ge 4.3335 -4.0285 2.3815
Ge -2.2436 -5.6360 -1.9701
Ge 0.6172 -6.0301 -7.8425
Ge 6.8260 -1.9450 -4.0943
Ge -0.6026 -2.9950 -0.4887
Ge 3.6542 -1.1425 -5.1010
Ge 1.2510 -9.7254 1.4493
Ge -1.7500 -5.9619 -5.3417
Ge 2.4452 -1.8188 0.5338
Ge 8.7143 -4.1547 -2.2467
Rh 2.0382 -9.5849 -0.9191
Rh 4.8178 -3.3142 -4.6784
Rh 2.6661 -6.7770 -6.6207
Rh 4.1899 -6.1221 1.0232
Rh 7.2937 -6.2115 -2.2558
Rh -0.4377 -6.6876 -3.3417
Rh 1.7140 -3.2248 -1.3994
Rh 5.1420 -9.6744 -4.1981
```

Computed properties:
* VASP energy: -5.7187 eV per atom
* spin magnetization: 0.0 μB/f.u.
* energy of formation: -0.553 eV/atom

=====

Here is a relaxed Tb2Ge6Rh crystal from the Alexandria database. Energies are from PBE.

extended XYZ file:
```
9
Lattice="-3.1415 -1.5555 -1.8755 2.0787 -3.5706 -0.5204 -2.3504 -2.9076 10.5626" Properties=species:S:1:pos:R:3 pbc="T T T"
Tb -2.6234 -2.4657 6.4394
Tb -5.4608 -4.4339 8.6108
Ge -3.2492 -2.3553 3.1823
Ge -0.6084 -3.3340 3.7844
Ge 0.2828 -2.4964 1.5969
Ge -2.3599 -1.5194 0.9992
Ge -2.5465 -5.1556 8.5417
Ge -3.5508 -5.4009 6.2135
Rh -2.6877 -4.5897 4.0949
```

Computed properties:
* VASP energy: -5.4603 eV per atom
* spin magnetization: 0.0 μB/f.u.
* energy of formation: -0.536 eV/atom